# 1
Here is an optimized crystal structure of Er6ZnRh2 from Alexandria via LeMat-Bulk. Energies are from PBE.

The structure in CIF format:
```
data_Er6ZnRh2
_symmetry_space_group_name_H-M 'I m m m'
_symmetry_Int_Tables_number 71
_symmetry_space_group_name_Hall '-I 2 2'
_cell_length_a 9.2437
_cell_length_b 9.3613
_cell_length_c 10.1998
_cell_angle_alpha 90.00
_cell_angle_beta 90.00
_cell_angle_gamma 90.00
loop_
_atom_site_label
_atom_site_fract_x
_atom_site_fract_y
_atom_site_fract_z
Er1 0.0000 0.1929 0.2409
Er2 0.1945 0.5000 0.1709
Er3 0.2196 0.3217 0.5000
Zn1 0.0000 0.0000 0.0000
Zn2 0.0000 0.0000 0.5000
Rh1 0.0000 0.3304 0.0000
Rh2 0.0000 0.5000 0.3674
```

total DFT energy (no corrections): -5.36 eV per atom
magnetization: 0.000 μB per cell
formation energy from the elements: -52.5 kJ per mole of atoms

# 2
Here is an optimized crystal structure of ErZn2Rh3 from Alexandria via LeMat-Bulk. Energies are from PBE.

The structure in CIF format:
```
data_ErZn2Rh3
_symmetry_space_group_name_H-M 'P -3 m 1'
_symmetry_Int_Tables_number 164
_symmetry_space_group_name_Hall '-P 3 2"'
_cell_length_a 4.4393
_cell_length_b 4.4393
_cell_length_c 10.9562
_cell_angle_alpha 90.00
_cell_angle_beta 90.00
_cell_angle_gamma 120.00
loop_
_atom_site_label
_atom_site_fract_x
_atom_site_fract_y
_atom_site_fract_z
Er1 0.3333 0.6667 0.1728
Zn1 0.0000 0.0000 0.0000
Zn2 0.0000 0.0000 0.5000
Zn3 0.3333 0.6667 0.6617
Rh1 0.0000 0.0000 0.2642
Rh2 0.3333 0.6667 0.4257
Rh3 0.3333 0.6667 0.9171
```

total DFT energy (no corrections): -5.45 eV per atom
magnetization: 0.000 μB per cell
formation energy from the elements: -57.1 kJ per mole of atoms

# 3
Here is an optimized crystal structure of Er3Zn2Rh from Alexandria via LeMat-Bulk. Energies are from PBE.

The structure in CIF format:
```
data_Er3Zn2Rh
_symmetry_space_group_name_H-M 'P 4/m m m'
_symmetry_Int_Tables_number 123
_symmetry_space_group_name_Hall '-P 4 2'
_cell_length_a 3.4979
_cell_length_b 3.4979
_cell_length_c 10.4369
_cell_angle_alpha 90.00
_cell_angle_beta 90.00
_cell_angle_gamma 90.00
loop_
_atom_site_label
_atom_site_fract_x
_atom_site_fract_y
_atom_site_fract_z
Er1 0.0000 0.0000 0.0000
Er2 0.0000 0.0000 0.3453
Zn1 0.5000 0.5000 0.1684
Rh1 0.5000 0.5000 0.5000
```

total DFT energy (no corrections): -4.49 eV per atom
magnetization: 0.000 μB per cell
formation energy from the elements: -53.8 kJ per mole of atoms

# 4
Here is an optimized crystal structure of ErZnRh from Alexandria via LeMat-Bulk. Energies are from PBE.

The structure in CIF format:
```
data_ErZnRh
_symmetry_space_group_name_H-M 'P n m a'
_symmetry_Int_Tables_number 62
_cell_length_a 6.8852
_cell_length_b 4.0440
_cell_length_c 8.0487
_cell_angle_alpha 90.00
_cell_angle_beta 90.00
_cell_angle_gamma 90.00
loop_
_symmetry_equiv_pos_as_xyz
'x,y,z'
'-x,-y,-z'
'-x+1/2,-y,z+1/2'
'x+1/2,y,-z+1/2'
'x+1/2,-y+1/2,-z+1/2'
'-x+1/2,y+1/2,z+1/2'
'-x,y+1/2,-z'
'x,-y+1/2,z'
loop_
_atom_site_label
_atom_site_fract_x
_atom_site_fract_y
_atom_site_fract_z
Er1 0.0382 0.2500 0.1830
Zn1 0.1380 0.2500 0.5635
Rh1 0.2447 0.7500 0.3767
```

total DFT energy (no corrections): -5.15 eV per atom
magnetization: 0.000 μB per cell
formation energy from the elements: -72.7 kJ per mole of atoms